# 1
The following is a GGA-PBEsol calculation of a geometry-optimized TaAg3P structure, from Alexandria.

It has space group Pm-3m (No. 221), with a = 4.540 Å, b = 4.540 Å, c = 4.540 Å, α = 90.00°, β = 90.00° and γ = 90.00°. The distinct sites, in fractional coordinates, are Ta at (0.000, 0.000, 0.000), Ag at (0.000, 0.500, 0.500) and P at (0.500, 0.500, 0.500).

The crystal system is cubic. The calculation puts the formation energy at 5.3 eV per formula unit.

---

# 2
The following is a GGA-PBEsol calculation of a geometry-optimized KCd3Cl structure, from Alexandria.

It has space group Pm-3m (No. 221), with a = 6.311 Å, b = 6.311 Å, c = 6.311 Å, α = 90.00°, β = 90.00° and γ = 90.00°. The distinct sites, in fractional coordinates, are K at (0.000, 0.000, 0.000), Cd at (0.000, 0.000, 0.500) and Cl at (0.500, 0.500, 0.500).

The crystal system is cubic. For the total DFT energy (no corrections), the calculation gives -0.0701 Ry/atom.

---

# 3
The following is a GGA-PBEsol calculation of a geometry-optimized Ba2SiPb structure, from Alexandria.

It has space group R-3m (No. 166, hexagonal axes), with a = 4.1186 Å, b = 4.1186 Å, c = 30.6364 Å, α = 90.00°, β = 90.00° and γ = 120.00°. The distinct sites, in fractional coordinates, are Ba at (0.0000, 0.0000, 0.2412), Si at (0.0000, 0.0000, 0.5000) and Pb at (0.0000, 0.0000, 0.0000).

The crystal system is trigonal. Its relative energy among the computed polymorphs is 9.25 kcal/mol of atoms.

---

# 4
The following is a GGA-PBEsol calculation of a geometry-optimized AlSiPt structure, from Alexandria.

It has space group P3m1 (No. 156), with a = 2.9952 Å, b = 2.9952 Å, c = 5.7883 Å, α = 90.00°, β = 90.00° and γ = 120.00°. The distinct sites, in fractional coordinates, are Al at (0.0000, 0.0000, 0.0000), Si at (0.3333, 0.6667, 0.3525) and Pt at (0.6667, 0.3333, 0.6624).

The crystal system is trigonal. For the total DFT energy (no corrections), the calculation gives -0.4428 Ry/atom.